The following is a PBE calculation of a relaxed structure of Np6TcN12, from the Alexandria database.

Geometry as CIF:
```
data_Np6TcN12
_cell_length_a 6.369
_cell_length_b 6.369
_cell_length_c 6.369
_cell_angle_alpha 99.04
_cell_angle_beta 99.04
_cell_angle_gamma 99.04
_symmetry_space_group_name_H-M 'P 1'
_symmetry_Int_Tables_number 1
_symmetry_space_group_name_Hall 'P 1'
loop_
_atom_site_label
_atom_site_fract_x
_atom_site_fract_y
_atom_site_fract_z
_atom_site_occupancy
N1 0.597 0.436 0.175 1
N2 0.175 0.597 0.436 1
N3 0.436 0.175 0.597 1
N4 0.315 0.941 0.065 1
N5 0.685 0.059 0.935 1
N6 0.825 0.403 0.564 1
N7 0.403 0.564 0.825 1
N8 0.941 0.065 0.315 1
N9 0.065 0.315 0.941 1
N10 0.935 0.685 0.059 1
N11 0.059 0.935 0.685 1
N12 0.564 0.825 0.403 1
Np1 0.288 0.599 0.134 1
Np2 0.134 0.288 0.599 1
Np3 0.712 0.401 0.866 1
Np4 0.401 0.866 0.712 1
Np5 0.599 0.134 0.288 1
Np6 0.866 0.712 0.401 1
Tc1 0.000 0.000 0.000 1
```

Properties
**Magnetic moment**: 12.03 μB/f.u.
**Raw formation energy**: -0.875 eV per atom
**Fermi-level density of states**: 35.24 states/eV/f.u.

***

The following is a PBE calculation of a relaxed structure of NpTcN2, from the Alexandria database.

Geometry as CIF:
```
data_NpTcN2
_cell_length_a 3.196
_cell_length_b 5.474
_cell_length_c 10.966
_cell_angle_alpha 90.00
_cell_angle_beta 90.00
_cell_angle_gamma 88.54
_symmetry_space_group_name_H-M 'P 1'
_symmetry_Int_Tables_number 1
_symmetry_space_group_name_Hall 'P 1'
loop_
_atom_site_label
_atom_site_fract_x
_atom_site_fract_y
_atom_site_fract_z
_atom_site_occupancy
Np1 0.763 0.087 0.142 1
Np2 0.763 0.587 0.358 1
Np3 0.237 0.413 0.642 1
Np4 0.237 0.913 0.858 1
Tc1 0.712 0.418 0.894 1
Tc2 0.712 0.918 0.606 1
Tc3 0.288 0.582 0.106 1
Tc4 0.288 0.082 0.394 1
N1 0.731 0.651 0.745 1
N2 0.731 0.151 0.755 1
N3 0.237 0.752 0.503 1
N4 0.763 0.248 0.497 1
N5 0.269 0.849 0.245 1
N6 0.269 0.349 0.255 1
N7 0.763 0.748 0.003 1
N8 0.237 0.252 0.997 1
```

Properties
**Magnetic moment**: 3.08 μB/f.u.
**Excess energy over the best structure of this formula in the dataset**: 0.0 meV/atom
**Raw formation energy**: -0.687 eV per atom
**Fermi-level density of states**: 5.92 states/eV/f.u.

***

The following is a PBE calculation of a relaxed structure of NpTcN4, from the Alexandria database.

Geometry as CIF:
```
data_NpTcN4
_cell_length_a 4.869
_cell_length_b 5.161
_cell_length_c 6.033
_cell_angle_alpha 90.00
_cell_angle_beta 90.00
_cell_angle_gamma 90.00
_symmetry_space_group_name_H-M 'P 1'
_symmetry_Int_Tables_number 1
_symmetry_space_group_name_Hall 'P 1'
loop_
_atom_site_label
_atom_site_fract_x
_atom_site_fract_y
_atom_site_fract_z
_atom_site_occupancy
N1 0.288 0.314 0.392 1
N2 0.712 0.686 0.392 1
N3 0.251 0.843 0.124 1
N4 0.212 0.314 0.892 1
N5 0.249 0.843 0.624 1
N6 0.749 0.157 0.124 1
N7 0.751 0.157 0.624 1
N8 0.788 0.686 0.892 1
Tc1 0.500 0.000 0.309 1
Tc2 0.000 0.000 0.809 1
Np1 0.500 0.500 0.659 1
Np2 0.000 0.500 0.159 1
```

Properties
**Magnetic moment**: 1.94 μB/f.u.
**Raw formation energy**: -0.094 eV per atom
**Fermi-level density of states**: 6.36 states/eV/f.u.

***

The following is a PBE calculation of a relaxed structure of Np3TcN6, from the Alexandria database.

Geometry as CIF:
```
data_Np3TcN6
_cell_length_a 5.444
_cell_length_b 7.206
_cell_length_c 7.206
_cell_angle_alpha 103.25
_cell_angle_beta 90.00
_cell_angle_gamma 90.00
_symmetry_space_group_name_H-M 'P 1'
_symmetry_Int_Tables_number 1
_symmetry_space_group_name_Hall 'P 1'
loop_
_atom_site_label
_atom_site_fract_x
_atom_site_fract_y
_atom_site_fract_z
_atom_site_occupancy
N1 0.657 0.954 0.046 1
N2 0.205 0.670 0.645 1
N3 0.661 0.212 0.788 1
N4 0.689 0.577 0.107 1
N5 0.705 0.645 0.670 1
N6 0.689 0.893 0.423 1
N7 0.705 0.330 0.355 1
N8 0.189 0.107 0.577 1
N9 0.205 0.355 0.330 1
N10 0.189 0.423 0.893 1
N11 0.157 0.046 0.954 1
N12 0.161 0.788 0.212 1
Np1 0.466 0.909 0.699 1
Np2 0.466 0.301 0.091 1
Np3 0.937 0.604 0.396 1
Np4 0.966 0.091 0.301 1
Np5 0.966 0.699 0.909 1
Np6 0.437 0.396 0.604 1
Tc1 0.509 0.804 0.196 1
Tc2 0.009 0.196 0.804 1
```

Properties
**Magnetic moment**: 10.10 μB/f.u.
**Raw formation energy**: -0.837 eV per atom
**Fermi-level density of states**: 17.47 states/eV/f.u.

***

The following is a PBE calculation of a relaxed structure of Np2Te2N, from the Alexandria database.

Geometry as CIF:
```
data_Np2Te2N
_cell_length_a 5.886
_cell_length_b 7.558
_cell_length_c 7.558
_cell_angle_alpha 55.50
_cell_angle_beta 67.08
_cell_angle_gamma 67.08
_symmetry_space_group_name_H-M 'P 1'
_symmetry_Int_Tables_number 1
_symmetry_space_group_name_Hall 'P 1'
loop_
_atom_site_label
_atom_site_fract_x
_atom_site_fract_y
_atom_site_fract_z
_atom_site_occupancy
Te1 0.854 0.995 0.297 1
Te2 0.146 0.005 0.703 1
Te3 0.354 0.297 0.995 1
Te4 0.646 0.703 0.005 1
Np1 0.094 0.591 0.221 1
Np2 0.906 0.409 0.779 1
Np3 0.406 0.779 0.409 1
Np4 0.594 0.221 0.591 1
N1 0.750 0.500 0.500 1
N2 0.250 0.500 0.500 1
```

Properties
**Magnetic moment**: 6.99 μB/f.u.
**Raw formation energy**: -0.872 eV per atom
**Fermi-level density of states**: 15.42 states/eV/f.u.

***

The following is a PBE calculation of a relaxed structure of TmNpTe2N, from the Alexandria database.

Geometry as CIF:
```
data_TmNpTe2N
_cell_length_a 4.044
_cell_length_b 4.044
_cell_length_c 15.748
_cell_angle_alpha 90.00
_cell_angle_beta 90.00
_cell_angle_gamma 90.00
_symmetry_space_group_name_H-M 'P 1'
_symmetry_Int_Tables_number 1
_symmetry_space_group_name_Hall 'P 1'
loop_
_atom_site_label
_atom_site_fract_x
_atom_site_fract_y
_atom_site_fract_z
_atom_site_occupancy
Tm1 0.500 0.000 0.135 1
Tm2 0.000 0.500 0.865 1
N1 0.000 0.000 0.500 1
N2 0.500 0.500 0.500 1
Te1 0.500 0.000 0.318 1
Te2 0.500 0.000 0.918 1
Te3 0.000 0.500 0.082 1
Te4 0.000 0.500 0.682 1
Np1 0.500 0.000 0.567 1
Np2 0.000 0.500 0.433 1
```

Properties
**Magnetic moment**: 2.84 μB/f.u.
**Raw formation energy**: -1.159 eV per atom
**Fermi-level density of states**: 9.36 states/eV/f.u.

***

The following is a PBE calculation of a relaxed structure of YNpTe2N, from the Alexandria database.

Geometry as CIF:
```
data_YNpTe2N
_cell_length_a 4.054
_cell_length_b 4.054
_cell_length_c 16.009
_cell_angle_alpha 90.00
_cell_angle_beta 90.00
_cell_angle_gamma 90.00
_symmetry_space_group_name_H-M 'P 1'
_symmetry_Int_Tables_number 1
_symmetry_space_group_name_Hall 'P 1'
loop_
_atom_site_label
_atom_site_fract_x
_atom_site_fract_y
_atom_site_fract_z
_atom_site_occupancy
Te1 0.000 0.500 0.082 1
Te2 0.000 0.500 0.679 1
Te3 0.500 0.000 0.321 1
Te4 0.500 0.000 0.918 1
Y1 0.500 0.000 0.139 1
Y2 0.000 0.500 0.861 1
Np1 0.500 0.000 0.566 1
Np2 0.000 0.500 0.434 1
N1 0.500 0.500 0.500 1
N2 0.000 0.000 0.500 1
```

Properties
**Magnetic moment**: 2.83 μB/f.u.
**Raw formation energy**: -1.182 eV per atom
**Fermi-level density of states**: 9.64 states/eV/f.u.

***

The following is a PBE calculation of a relaxed structure of ThNpN4, from the Alexandria database.

Geometry as CIF:
```
data_ThNpN4
_cell_length_a 3.795
_cell_length_b 3.795
_cell_length_c 5.512
_cell_angle_alpha 89.96
_cell_angle_beta 89.96
_cell_angle_gamma 90.00
_symmetry_space_group_name_H-M 'P 1'
_symmetry_Int_Tables_number 1
_symmetry_space_group_name_Hall 'P 1'
loop_
_atom_site_label
_atom_site_fract_x
_atom_site_fract_y
_atom_site_fract_z
_atom_site_occupancy
N1 0.000 0.001 0.223 1
N2 0.501 0.500 0.223 1
N3 0.000 0.999 0.777 1
N4 0.499 0.500 0.777 1
Th1 0.500 0.000 0.500 1
Np1 0.000 0.500 0.000 1
```

Properties
**Magnetic moment**: 0.00 μB/f.u.
**Raw formation energy**: -0.893 eV per atom
**Fermi-level density of states**: 2.99 states/eV/f.u.

***

The following is a PBE calculation of a relaxed structure of ThNpN, from the Alexandria database.

Geometry as CIF:
```
data_ThNpN
_cell_length_a 3.635
_cell_length_b 5.121
_cell_length_c 6.324
_cell_angle_alpha 90.00
_cell_angle_beta 99.22
_cell_angle_gamma 90.00
_symmetry_space_group_name_H-M 'P 1'
_symmetry_Int_Tables_number 1
_symmetry_space_group_name_Hall 'P 1'
loop_
_atom_site_label
_atom_site_fract_x
_atom_site_fract_y
_atom_site_fract_z
_atom_site_occupancy
N1 0.212 0.750 0.356 1
N2 0.788 0.250 0.644 1
Th1 0.189 0.250 0.355 1
Th2 0.811 0.750 0.645 1
Np1 0.555 0.750 0.085 1
Np2 0.445 0.250 0.915 1
```

Properties
**Magnetic moment**: 3.82 μB/f.u.
**Excess energy over the best structure of this formula in the dataset**: 0.0 meV/atom
**Raw formation energy**: -0.607 eV per atom
**Fermi-level density of states**: 4.64 states/eV/f.u.